Entry 1:
Density functional theory data (PBE-GGA) for a relaxed TiNbRu2 crystal.

Computed properties:
Relative energy among the computed polymorphs   27 meV/atom
Formation energy from the elements   -1.842 eV per formula unit
Calculated density   9.24 Mg/m³
M_tot   0.00 Bohr magnetons per cell
Space group   P4/mmm

POSCAR file:
```
TiNbRu2
1.0
-0.863 1.769 -2.397
-3.191 -2.941 -1.022
-2.856 2.182 2.639
Nb Ru Ti
1 2 1
direct
0.500 0.500 0.500
0.000 0.000 0.500
0.000 0.500 0.000
0.500 0.000 0.000
```

Entry 2:
Density functional theory data (PBE-GGA) for a relaxed TiNbRu crystal.

Computed properties:
Relative energy among the computed polymorphs   53 meV/atom
Formation energy from the elements   -1.283 eV per formula unit
Calculated density   8.37 Mg/m³
M_tot   0.00 Bohr magnetons per cell
Space group   I4mm

POSCAR file:
```
TiNbRu
1.0
3.120 0.000 0.000
0.000 3.120 0.000
0.000 0.000 9.860
Ru Nb Ti
2 2 2
direct
0.000 0.000 0.250
0.500 0.500 0.750
0.000 0.000 0.915
0.500 0.500 0.415
0.500 0.500 0.094
0.000 0.000 0.594
```

Entry 3:
Density functional theory data (PBE-GGA) for a relaxed TiNbRu crystal.

Computed properties:
Relative energy among the computed polymorphs   34 meV/atom
Formation energy from the elements   -1.341 eV per formula unit
Calculated density   8.44 Mg/m³
M_tot   0.00 Bohr magnetons per cell
Space group   Cmmm

POSCAR file:
```
TiNbRu
1.0
13.677 0.000 0.000
0.000 4.443 0.000
0.000 0.000 3.132
Nb Ti Ru
4 4 4
direct
0.500 0.000 0.000
0.000 0.000 0.500
0.500 0.500 0.500
0.000 0.500 0.000
0.174 0.500 0.500
0.326 0.000 0.500
0.674 0.000 0.500
0.826 0.500 0.500
0.670 0.500 0.000
0.170 0.000 0.000
0.330 0.500 0.000
0.830 0.000 0.000
```

Repeat the third record exactly.
Density functional theory data (PBE-GGA) for a relaxed TiNbRu crystal.

Computed properties:
Relative energy among the computed polymorphs   34 meV/atom
Formation energy from the elements   -1.341 eV per formula unit
Calculated density   8.44 Mg/m³
M_tot   0.00 Bohr magnetons per cell
Space group   Cmmm

POSCAR file:
```
TiNbRu
1.0
13.677 0.000 0.000
0.000 4.443 0.000
0.000 0.000 3.132
Nb Ti Ru
4 4 4
direct
0.500 0.000 0.000
0.000 0.000 0.500
0.500 0.500 0.500
0.000 0.500 0.000
0.174 0.500 0.500
0.326 0.000 0.500
0.674 0.000 0.500
0.826 0.500 0.500
0.670 0.500 0.000
0.170 0.000 0.000
0.330 0.500 0.000
0.830 0.000 0.000
```